No. 1
Material: TiAl2Cu2
Method: DFT, PBEsol
State: relaxed

ΔE_f   -228 meV per atom
Calculated volume   137.7 Å³ per cell
Spin magnetization   0.00 μB per formula unit
E_tot   -5.26 eV per atom
Mass density   5522 kg/m3
Space-group type   No. 127

abc: 2.662 7.192 7.192
angles: 90.00 90.00 90.00
Element x y z (fractional)
Al 0.500 0.173 0.673
Al 0.500 0.673 0.827
Al 0.500 0.827 0.327
Al 0.500 0.327 0.173
Cu 0.000 0.376 0.876
Cu 0.000 0.876 0.624
Cu 0.000 0.624 0.124
Cu 0.000 0.124 0.376
Ti 0.000 0.000 0.000
Ti 0.000 0.500 0.500


No. 2
Material: TiAlCu2
Method: DFT, PBEsol
State: relaxed

ΔE_f   -197 meV per atom
Calculated volume   53.3 Å³ per cell
Spin magnetization   0.64 μB per formula unit
E_tot   -5.47 eV per atom
Mass density   6295 kg/m3
Space-group type   No. 123

abc: 2.836 2.836 6.622
angles: 90.00 90.00 90.00
Last column: magnetic moment on the atom in μB.
Element x y z (fractional)
Al 0.000 0.000 0.000  0.00
Cu 0.500 0.500 0.233  0.02
Cu 0.500 0.500 0.767  0.02
Ti 0.000 0.000 0.500  0.50


No. 3
Material: Ti2AlCu2
Method: DFT, PBEsol
State: relaxed

ΔE_f   -206 meV per atom
Calculated volume   143.3 Å³ per cell
Spin magnetization   0.00 μB per formula unit
E_tot   -6.09 eV per atom
Mass density   5790 kg/m3
Space-group type   No. 127

abc: 3.187 6.705 6.705
angles: 90.00 90.00 90.00
Element x y z (fractional)
Al 0.000 0.000 0.000
Al 0.000 0.500 0.500
Cu 0.000 0.373 0.873
Cu 0.000 0.873 0.627
Cu 0.000 0.627 0.127
Cu 0.000 0.127 0.373
Ti 0.500 0.172 0.672
Ti 0.500 0.672 0.828
Ti 0.500 0.828 0.328
Ti 0.500 0.328 0.172


No. 4
Material: Al2TlCu
Method: DFT, PBEsol
State: relaxed

ΔE_f   129 meV per atom
Calculated volume   71.3 Å³ per cell
Spin magnetization   0.00 μB per formula unit
E_tot   -3.66 eV per atom
Energy above the most stable polymorph in this dataset   0.0 meV/atom
Mass density   7501 kg/m3
Space-group type   No. 6

abc: 2.990 2.990 8.101
angles: 90.00 100.24 90.00
Element x y z (fractional)
Tl 0.669 0.500 0.715
Al 0.837 0.000 0.045
Al 0.454 0.500 0.282
Cu 0.040 0.000 0.458


No. 5
Material: Al2TlCu
Method: DFT, PBEsol
State: relaxed

ΔE_f   269 meV per atom
Calculated volume   69.9 Å³ per cell
Spin magnetization   0.00 μB per formula unit
E_tot   -3.52 eV per atom
Energy above the most stable polymorph in this dataset   139.9 meV/atom
Mass density   7652 kg/m3
Space-group type   No. 119

abc: 4.118 4.118 5.044
angles: 114.09 114.09 90.00
Element x y z (fractional)
Tl 0.250 0.750 0.500
Al 0.000 0.000 0.000
Al 0.750 0.250 0.500
Cu 0.500 0.500 0.000


No. 6
Material: AlTlCu3
Method: DFT, PBEsol
State: relaxed

ΔE_f   624 meV per atom
Calculated volume   93.3 Å³ per cell
Spin magnetization   0.00 μB per formula unit
E_tot   -3.32 eV per atom
Energy above the most stable polymorph in this dataset   0.0 meV/atom
Mass density   7514 kg/m3
Space-group type   No. 221

abc: 4.535 4.535 4.535
angles: 90.00 90.00 90.00
Element x y z (fractional)
Tl 0.500 0.500 0.500
Al 0.000 0.000 0.000
Cu 0.000 0.500 0.000
Cu 0.000 0.000 0.500
Cu 0.500 0.000 0.000


No. 7
Material: Al2TlCu
Method: DFT, PBEsol
State: relaxed

ΔE_f   233 meV per atom
Calculated volume   76.0 Å³ per cell
Spin magnetization   0.00 μB per formula unit
E_tot   -3.55 eV per atom
Energy above the most stable polymorph in this dataset   104.3 meV/atom
Mass density   7036 kg/m3
Space-group type   No. 10

abc: 3.721 4.278 4.973
angles: 90.00 106.33 90.00
Element x y z (fractional)
Tl 0.000 0.500 0.500
Al 0.649 0.000 0.784
Al 0.351 0.000 0.216
Cu 0.500 0.500 0.000


No. 8
Material: AlTlCu3
Method: DFT, PBEsol
State: relaxed

ΔE_f   1088 meV per atom
Calculated volume   109.9 Å³ per cell
Spin magnetization   0.00 μB per formula unit
E_tot   -2.86 eV per atom
Energy above the most stable polymorph in this dataset   464.2 meV/atom
Mass density   6374 kg/m3
Space-group type   No. 221

abc: 4.791 4.791 4.791
angles: 90.00 90.00 90.00
Element x y z (fractional)
Tl 0.000 0.000 0.000
Al 0.500 0.500 0.500
Cu 0.000 0.500 0.000
Cu 0.000 0.000 0.500
Cu 0.500 0.000 0.000


No. 9
Material: TmAlCu
Method: DFT, PBEsol
State: relaxed

ΔE_f   -475 meV per atom
Calculated volume   160.6 Å³ per cell
Spin magnetization   0.00 μB per formula unit
E_tot   -4.92 eV per atom
Mass density   8048 kg/m3
Space-group type   No. 189

abc: 3.782 7.003 7.003
angles: 120.00 90.00 90.00
Element x y z (fractional)
Tm 0.000 0.415 0.415
Tm 0.000 0.000 0.585
Tm 0.000 0.585 0.000
Al 0.500 0.759 0.759
Al 0.500 0.000 0.241
Al 0.500 0.241 0.000
Cu 0.000 0.000 0.000
Cu 0.500 0.667 0.333
Cu 0.500 0.333 0.667


No. 10
Material: TmAlCu
Method: DFT, PBEsol
State: relaxed

ΔE_f   -403 meV per atom
Calculated volume   108.1 Å³ per cell
Spin magnetization   0.00 μB per formula unit
E_tot   -4.84 eV per atom
Mass density   7971 kg/m3
Space-group type   No. 74

abc: 5.333 5.333 5.333
angles: 89.07 60.48 119.41
Element x y z (fractional)
Tm 0.250 0.375 0.875
Tm 0.750 0.625 0.125
Al 0.500 0.000 0.500
Al 0.000 0.500 0.500
Cu 0.000 0.000 0.500
Cu 0.500 0.000 0.000


No. 11
Material: TmAl8Cu4
Method: DFT, PBEsol
State: relaxed

ΔE_f   -307 meV per atom
Calculated volume   192.0 Å³ per cell
Spin magnetization   0.00 μB per formula unit
E_tot   -4.54 eV per atom
Mass density   5528 kg/m3
Space-group type   No. 139

abc: 5.068 6.655 6.655
angles: 81.66 67.62 67.62
Element x y z (fractional)
Tm 0.000 0.000 0.000
Al 0.283 0.217 0.217
Al 0.500 0.783 0.217
Al 0.000 0.653 0.347
Al 0.653 0.347 0.347
Al 0.000 0.347 0.653
Al 0.347 0.653 0.653
Al 0.500 0.217 0.783
Al 0.717 0.783 0.783
Cu 0.000 0.500 0.000
Cu 0.500 0.500 0.000
Cu 0.500 0.000 0.500
Cu 0.000 0.000 0.500


No. 12
Material: AlCuW2
Method: DFT, PBEsol
State: relaxed

ΔE_f   224 meV per atom
Calculated volume   58.0 Å³ per cell
Spin magnetization   0.00 μB per formula unit
E_tot   -8.79 eV per atom
Mass density   13110 kg/m3
Space-group type   No. 216

abc: 4.346 4.346 4.346
angles: 60.00 60.00 60.00
Element x y z (fractional)
Cu 0.250 0.250 0.250
W 0.000 0.000 0.000
W 0.750 0.750 0.750
Al 0.500 0.500 0.500


Which of these has the lowest mass density?
TiAl2Cu2


Look up the ΔE_f of the tenth one.
-403 meV per atom


Which formula does entry 6 have?
AlTlCu3